Entry from Alexandria via LeMat-Bulk: a geometry-optimized Tb5ThIr4 structure (PBE-GGA).

## Properties
energy of formation from the pure elements	-7.2	eV/f.u.
space group	C2/m
D(E_F)	5.83	states/eV per cell
E_tot	-7.322	eV per atom

Cell lengths 9.352, 9.352, 7.568 Å; angles 113.75, 113.75, 26.09 degrees
Fractional coordinates of all 10 atoms:
Tb 0.000 0.000 0.000
Tb 0.333 0.333 0.090
Tb 0.333 0.333 0.575
Tb 0.667 0.667 0.425
Tb 0.667 0.667 0.910
Th 0.000 0.000 0.500
Ir 0.196 0.196 0.697
Ir 0.500 0.500 0.243
Ir 0.500 0.500 0.757
Ir 0.804 0.804 0.303


Entry from Alexandria via LeMat-Bulk: a geometry-optimized Ga2FeNi7Pt2 structure (PBE-GGA).

## Properties
energy of formation from the pure elements	-1.0	eV/f.u.
space group	C2/m
D(E_F)	12.51	states/eV per cell
E_tot	-5.668	eV per atom

Cell lengths 3.389, 3.389, 13.835 Å; angles 96.30, 96.30, 89.97 degrees
Fractional coordinates of all 12 atoms:
Ga 0.165 0.165 0.361
Ga 0.835 0.835 0.639
Fe 0.000 0.000 0.000
Ni 0.059 0.559 0.133
Ni 0.267 0.267 0.536
Ni 0.441 0.941 0.867
Ni 0.500 0.500 0.000
Ni 0.559 0.059 0.133
Ni 0.733 0.733 0.464
Ni 0.941 0.441 0.867
Pt 0.375 0.375 0.723
Pt 0.625 0.625 0.277


Entry from Alexandria via LeMat-Bulk: a geometry-optimized Ce2Nd2Sb2C structure (PBE-GGA).

## Properties
formation energy without anion corrections	-0.749	eV/atom
space group	I4/mmm
D(E_F)	10.55	states/eV per cell
E_tot	-6.302	eV per atom

Cell lengths 9.069, 9.069, 9.069 Å; angles 149.47, 149.47, 43.72 degrees
Fractional coordinates of all 7 atoms:
Ce 0.000 0.500 0.500
Ce 0.500 0.000 0.500
Nd 0.166 0.166 0.000
Nd 0.834 0.834 0.000
Sb 0.360 0.360 0.000
Sb 0.640 0.640 0.000
C 0.000 0.000 0.000


Entry from Alexandria via LeMat-Bulk: a geometry-optimized La3Tb2Y structure (PBE-GGA).

## Properties
energy of formation from the pure elements	0.1	eV/f.u.
space group	P-1
D(E_F)	16.42	states/eV per cell
E_tot	-5.067	eV per atom

Cell lengths 7.345, 7.370, 9.119 Å; angles 90.05, 101.74, 119.84 degrees
Fractional coordinates of all 12 atoms:
La 0.001 0.248 0.493
La 0.220 0.861 0.165
La 0.278 0.636 0.835
La 0.722 0.364 0.165
La 0.780 0.139 0.835
La 0.999 0.752 0.507
Tb 0.227 0.361 0.170
Tb 0.275 0.140 0.832
Tb 0.725 0.860 0.168
Tb 0.773 0.639 0.830
Y 0.499 0.747 0.496
Y 0.501 0.253 0.504


Entry from Alexandria via LeMat-Bulk: a geometry-optimized Th5Zr2 structure (PBE-GGA).

## Properties
energy of formation from the pure elements	0.4	eV/f.u.
space group	I4/mmm
D(E_F)	11.40	states/eV per cell
E_tot	-7.691	eV per atom

Cell lengths 16.253, 16.253, 16.253 Å; angles 167.37, 167.37, 17.89 degrees
Fractional coordinates of all 7 atoms:
Th 0.000 0.000 0.000
Th 0.153 0.153 0.000
Th 0.423 0.423 0.000
Th 0.577 0.577 0.000
Th 0.847 0.847 0.000
Zr 0.279 0.279 0.000
Zr 0.721 0.721 0.000


Entry from Alexandria via LeMat-Bulk: a geometry-optimized Sr2LaBr structure (PBE-GGA).

## Properties
formation energy without anion corrections	-0.347	eV/atom
space group	I-42d
D(E_F)	13.00	states/eV per cell
E_tot	-2.838	eV per atom

Cell lengths 7.835, 7.835, 7.835 Å; angles 101.14, 101.14, 127.85 degrees
Fractional coordinates of all 8 atoms:
Sr 0.042 0.625 0.917
Sr 0.375 0.292 0.417
Sr 0.708 0.125 0.083
Sr 0.875 0.958 0.583
La 0.250 0.750 0.500
La 0.500 0.500 0.000
Br 0.000 0.000 0.000
Br 0.750 0.250 0.500